Density functional theory data (PBE-GGA) for an optimized crystal structure of Tl2ZnIrO6.

Results
Raw formation energy   -0.7956 eV per atom

Structure (extended XYZ):
```
20
Lattice="-4.5656 0.8985 -2.9040 1.7141 -3.6533 -3.8252 -3.9602 -6.0387 3.9926" Properties=species:S:1:pos:R:3 pbc="T T T"
Tl 0.5206 -5.0281 -2.7043
Tl -4.4539 -6.0814 -0.5718
Tl -7.3323 -3.7653 -0.0323
Tl -2.3577 -2.7121 -2.1649
Zn -2.2828 0.4493 -1.4520
Zn -1.1230 -4.8460 0.0837
Ir -4.2629 -2.5701 0.5443
Ir 0.8571 -1.8266 -1.9126
O -0.3030 -2.7114 -3.2879
O -4.4300 -5.5709 -3.0466
O -6.5087 -6.0821 0.5513
O -2.3816 -3.2226 0.3100
O -1.8112 -4.9680 -1.9237
O -5.9871 -7.7234 -1.5735
O -5.0004 -3.8255 -0.8129
O -0.8245 -1.0700 -1.1631
O -3.9838 -2.6097 -3.7613
O -3.0053 -7.5186 -1.8211
O -2.8278 -6.1838 1.0247
O -3.8064 -1.2748 -0.9155
```